No. 1
This record from Alexandria via LeMat-Bulk describes ZnCu2Te after structural relaxation. The functional is PBE.

Properties
Formation energy (no corrections) = 342 meV per atom

a = 6.5267 Å, b = 6.5267 Å, c = 6.5267 Å
α = 90.00°, β = 90.00°, γ = 90.00°
With the nearest neighbours (Å) after each atom.
Space group F-43m (No. 216)
One atom of each set of equivalent atoms:
Zn: 0.0000 0.0000 0.0000 [4 per cell]  4 Te 2.83, 4 Cu 2.83
Cu: 0.0000 0.0000 0.5000 [4 per cell]  4 Te 2.83, 4 Cu 2.83
Cu: 0.2500 0.2500 0.2500 [4 per cell]  4 Cu 2.83, 4 Zn 2.83
Te: 0.2500 0.2500 0.7500 [4 per cell]  4 Cu 2.83, 4 Zn 2.83


No. 2
This record from Alexandria via LeMat-Bulk describes La2FePtC after structural relaxation. The functional is PBE.

Properties
E_form = -0.4541 eV per atom

a = 5.2852 Å, b = 5.2852 Å, c = 3.6678 Å
α = 90.00°, β = 90.00°, γ = 90.00°
With the nearest neighbours (Å) after each atom.
Space group P4/mmm (No. 123)
One atom of each set of equivalent atoms:
La: 0.0000 0.5000 0.0000 [2 per cell]  2 C 2.64
Fe: 0.0000 0.0000 0.5000 [1 per cell]  2 C 1.83
Pt: 0.5000 0.5000 0.5000 [1 per cell]  8 La 3.22
C: 0.0000 0.0000 0.0000 [1 per cell]  2 Fe 1.83


No. 3
This record from Alexandria via LeMat-Bulk describes RbFe2PbBr8 after structural relaxation. The functional is PBE.

Properties
Formation energy (no corrections) = -801 meV per atom

a = 11.5063 Å, b = 7.9449 Å, c = 10.3764 Å
α = 90.00°, β = 96.24°, γ = 90.00°
With the nearest neighbours (Å) after each atom.
Space group C2/m (No. 12)
One atom of each set of equivalent atoms:
Rb: 0.0000 0.0000 0.0000 [2 per cell]  6 Br 3.55-3.64
Fe: 0.1129 0.5000 0.2775 [4 per cell]  4 Br 2.35-2.43
Pb: 0.0000 0.0000 0.5000 [2 per cell]  6 Br 3.04-3.08
Br: 0.0156 0.2570 0.7228 [8 per cell]  1 Fe 2.43
Br: 0.2004 0.5000 0.0834 [4 per cell]  1 Fe 2.35
Br: 0.2340 0.5000 0.4799 [4 per cell]  1 Fe 2.39


No. 4
This record from Alexandria via LeMat-Bulk describes Hf2VMoH after structural relaxation. The functional is PBE.

a = 4.6418 Å, b = 4.6418 Å, c = 3.4729 Å
α = 90.00°, β = 90.00°, γ = 90.00°
With the nearest neighbours (Å) after each atom.
Space group P4/mmm (No. 123)
One atom of each set of equivalent atoms:
Hf: 0.0000 0.5000 0.0000 [2 per cell]  2 H 2.32
V: 0.0000 0.0000 0.5000 [1 per cell]  2 H 1.74
Mo: 0.5000 0.5000 0.5000 [1 per cell]  8 Hf 2.90
H: 0.0000 0.0000 0.0000 [1 per cell]  2 V 1.74


V per entry: 278.0 102.5 943.0 74.8 Å³/cell
Calculated total energy per entry: -2.8100 -7.1706 -3.7163 -8.6984 eV/atom